VASP calculation (PBE) on a relaxed PmIn6Pd6 crystal.

Summary:
Formation enthalpy at 0 K ... -5.0 eV/f.u.
E above lowest polymorph ... 158 meV per atom
DOS(E_F) ... 0.390 states/eV per atom
Space group ... P6/mmm, No. 191

a b c (Å): 5.8345 5.8345 8.9081
angles (deg): 90.00 90.00 120.00
Sites, in units of the cell vectors:
Pm 0.0000 0.0000 0.0000
In 0.0000 0.5000 0.2527
In 0.0000 0.5000 0.7473
In 0.5000 0.0000 0.2527
In 0.5000 0.0000 0.7473
In 0.5000 0.5000 0.2527
In 0.5000 0.5000 0.7473
Pd 0.0000 0.0000 0.3372
Pd 0.0000 0.0000 0.6628
Pd 0.3333 0.6667 0.0000
Pd 0.3333 0.6667 0.5000
Pd 0.6667 0.3333 0.0000
Pd 0.6667 0.3333 0.5000